VASP calculation (GGA-PBE) on a relaxed structure of PuScMnAl.

Structure (CIF):
```
data_PuScMnAl
_chemical_formula_sum 'Pu1 Sc1 Mn1 Al1'
_cell_length_a 4.8423
_cell_length_b 4.8423
_cell_length_c 4.8423
_cell_angle_alpha 60.00
_cell_angle_beta 60.00
_cell_angle_gamma 60.00
_symmetry_space_group_name_H-M 'P 1'
_symmetry_Int_Tables_number 1
loop_
_symmetry_equiv_pos_as_xyz
'x,y,z'
loop_
_atom_site_label
_atom_site_type_symbol
_atom_site_fract_x
_atom_site_fract_y
_atom_site_fract_z
Pu1 Pu 0.5000 0.5000 0.5000
Al1 Al 0.7500 0.7500 0.7500
Sc1 Sc 0.0000 0.0000 0.0000
Mn1 Mn 0.2500 0.2500 0.2500
```

Properties
DFT formation energy ... -0.05 eV per atom
M_tot ... 2.333 μB per formula unit
Mass density ... 7.671 g cm⁻³
Density of states at the Fermi level ... 1.887 states/eV per atom

---

VASP calculation (GGA-PBE) on a relaxed structure of PuMnAlSi2.

Structure (CIF):
```
data_PuMnAlSi2
_chemical_formula_sum 'Pu1 Mn1 Al1 Si2'
_cell_length_a 3.8855
_cell_length_b 3.8855
_cell_length_c 6.1630
_cell_angle_alpha 108.37
_cell_angle_beta 108.37
_cell_angle_gamma 90.00
_symmetry_space_group_name_H-M 'P 1'
_symmetry_Int_Tables_number 1
loop_
_symmetry_equiv_pos_as_xyz
'x,y,z'
loop_
_atom_site_label
_atom_site_type_symbol
_atom_site_fract_x
_atom_site_fract_y
_atom_site_fract_z
Si1 Si 0.6095 0.6095 0.2190
Si2 Si 0.3905 0.3905 0.7810
Al1 Al 0.7500 0.2500 0.5000
Mn1 Mn 0.2500 0.7500 0.5000
Pu1 Pu 0.0000 0.0000 0.0000
```

Properties
Formation energy without anion corrections ... -0.40 eV/atom
M_tot ... 8.046 μB per formula unit
Mass density ... 7.618 g cm⁻³
Density of states at the Fermi level ... 2.197 states/eV per atom

---

VASP calculation (GGA-PBE) on a relaxed structure of TbPuMnAl.

Structure (CIF):
```
data_TbPuMnAl
_chemical_formula_sum 'Tb1 Pu1 Mn1 Al1'
_cell_length_a 5.0645
_cell_length_b 5.0645
_cell_length_c 5.0645
_cell_angle_alpha 60.00
_cell_angle_beta 60.00
_cell_angle_gamma 60.00
_symmetry_space_group_name_H-M 'P 1'
_symmetry_Int_Tables_number 1
loop_
_symmetry_equiv_pos_as_xyz
'x,y,z'
loop_
_atom_site_label
_atom_site_type_symbol
_atom_site_fract_x
_atom_site_fract_y
_atom_site_fract_z
Pu1 Pu 0.0000 0.0000 0.0000
Al1 Al 0.2500 0.2500 0.2500
Tb1 Tb 0.5000 0.5000 0.5000
Mn1 Mn 0.7500 0.7500 0.7500
```

Properties
DFT formation energy ... 0.18 eV per atom
M_tot ... 8.663 μB per formula unit
Mass density ... 8.765 g cm⁻³
Density of states at the Fermi level ... 3.272 states/eV per atom

---

VASP calculation (GGA-PBE) on a relaxed structure of PuMnAlTc.

Structure (CIF):
```
data_PuMnAlTc
_chemical_formula_sum 'Pu1 Mn1 Al1 Tc1'
_cell_length_a 4.4921
_cell_length_b 4.4921
_cell_length_c 4.4921
_cell_angle_alpha 60.00
_cell_angle_beta 60.00
_cell_angle_gamma 60.00
_symmetry_space_group_name_H-M 'P 1'
_symmetry_Int_Tables_number 1
loop_
_symmetry_equiv_pos_as_xyz
'x,y,z'
loop_
_atom_site_label
_atom_site_type_symbol
_atom_site_fract_x
_atom_site_fract_y
_atom_site_fract_z
Al1 Al 0.7500 0.7500 0.7500
Mn1 Mn 0.0000 0.0000 0.0000
Pu1 Pu 0.2500 0.2500 0.2500
Tc1 Tc 0.5000 0.5000 0.5000
```

Properties
DFT formation energy ... -0.18 eV per atom
M_tot ... 2.057 μB per formula unit
Mass density ... 10.982 g cm⁻³
Density of states at the Fermi level ... 1.314 states/eV per atom

---

VASP calculation (GGA-PBE) on a relaxed structure of PuTiMnAl.

Structure (CIF):
```
data_PuTiMnAl
_chemical_formula_sum 'Pu1 Ti1 Mn1 Al1'
_cell_length_a 4.5595
_cell_length_b 4.5595
_cell_length_c 4.5595
_cell_angle_alpha 60.00
_cell_angle_beta 60.00
_cell_angle_gamma 60.00
_symmetry_space_group_name_H-M 'P 1'
_symmetry_Int_Tables_number 1
loop_
_symmetry_equiv_pos_as_xyz
'x,y,z'
loop_
_atom_site_label
_atom_site_type_symbol
_atom_site_fract_x
_atom_site_fract_y
_atom_site_fract_z
Ti1 Ti 0.2500 0.2500 0.2500
Pu1 Pu 0.5000 0.5000 0.5000
Mn1 Mn 0.7500 0.7500 0.7500
Al1 Al 0.0000 0.0000 0.0000
```

Properties
DFT formation energy ... -0.13 eV per atom
M_tot ... 4.052 μB per formula unit
Mass density ... 9.261 g cm⁻³
Density of states at the Fermi level ... 1.568 states/eV per atom

---

VASP calculation (GGA-PBE) on a relaxed structure of PuUMnAl.

Structure (CIF):
```
data_PuUMnAl
_chemical_formula_sum 'Pu1 U1 Mn1 Al1'
_cell_length_a 4.6904
_cell_length_b 4.6904
_cell_length_c 4.6904
_cell_angle_alpha 60.00
_cell_angle_beta 60.00
_cell_angle_gamma 60.00
_symmetry_space_group_name_H-M 'P 1'
_symmetry_Int_Tables_number 1
loop_
_symmetry_equiv_pos_as_xyz
'x,y,z'
loop_
_atom_site_label
_atom_site_type_symbol
_atom_site_fract_x
_atom_site_fract_y
_atom_site_fract_z
Al1 Al 0.2500 0.2500 0.2500
Pu1 Pu 0.5000 0.5000 0.5000
U1 U 0.7500 0.7500 0.7500
Mn1 Mn 0.0000 0.0000 0.0000
```

Properties
DFT formation energy ... -0.02 eV per atom
M_tot ... 6.026 μB per formula unit
Mass density ... 12.834 g cm⁻³
Density of states at the Fermi level ... 1.696 states/eV per atom

---

VASP calculation (GGA-PBE) on a relaxed structure of YPuMnAl.

Structure (CIF):
```
data_YPuMnAl
_chemical_formula_sum 'Y1 Pu1 Mn1 Al1'
_cell_length_a 5.0250
_cell_length_b 5.0250
_cell_length_c 5.0250
_cell_angle_alpha 60.00
_cell_angle_beta 60.00
_cell_angle_gamma 60.00
_symmetry_space_group_name_H-M 'P 1'
_symmetry_Int_Tables_number 1
loop_
_symmetry_equiv_pos_as_xyz
'x,y,z'
loop_
_atom_site_label
_atom_site_type_symbol
_atom_site_fract_x
_atom_site_fract_y
_atom_site_fract_z
Y1 Y 0.2500 0.2500 0.2500
Al1 Al 0.0000 0.0000 0.0000
Pu1 Pu 0.7500 0.7500 0.7500
Mn1 Mn 0.5000 0.5000 0.5000
```

Properties
DFT formation energy ... 0.00 eV per atom
M_tot ... 2.223 μB per formula unit
Mass density ... 7.677 g cm⁻³
Density of states at the Fermi level ... 1.825 states/eV per atom

---

VASP calculation (GGA-PBE) on a relaxed structure of RbMn3Al.

Structure (CIF):
```
data_RbMn3Al
_chemical_formula_sum 'Rb1 Mn3 Al1'
_cell_length_a 4.9730
_cell_length_b 4.9730
_cell_length_c 4.9730
_cell_angle_alpha 90.00
_cell_angle_beta 90.00
_cell_angle_gamma 90.00
_symmetry_space_group_name_H-M 'P 1'
_symmetry_Int_Tables_number 1
loop_
_symmetry_equiv_pos_as_xyz
'x,y,z'
loop_
_atom_site_label
_atom_site_type_symbol
_atom_site_fract_x
_atom_site_fract_y
_atom_site_fract_z
Mn1 Mn 0.0000 0.0000 0.5000
Mn2 Mn 0.0000 0.5000 0.0000
Mn3 Mn 0.5000 0.0000 0.0000
Al1 Al 0.5000 0.5000 0.5000
Rb1 Rb 0.0000 0.0000 0.0000
```

Properties
ΔE to the lowest computed polymorph ... 1287 meV/atom
DFT formation energy ... 2.31 eV per atom
M_tot ... 11.512 μB per formula unit
Mass density ... 3.744 g cm⁻³
Density of states at the Fermi level ... 0.640 states/eV per atom

---

VASP calculation (GGA-PBE) on a relaxed structure of RbMn3Al.

Structure (CIF):
```
data_RbMn3Al
_chemical_formula_sum 'Rb1 Mn3 Al1'
_cell_length_a 5.0782
_cell_length_b 5.0782
_cell_length_c 5.0782
_cell_angle_alpha 90.00
_cell_angle_beta 90.00
_cell_angle_gamma 90.00
_symmetry_space_group_name_H-M 'P 1'
_symmetry_Int_Tables_number 1
loop_
_symmetry_equiv_pos_as_xyz
'x,y,z'
loop_
_atom_site_label
_atom_site_type_symbol
_atom_site_fract_x
_atom_site_fract_y
_atom_site_fract_z
Rb1 Rb 0.5000 0.5000 0.5000
Mn1 Mn 0.0000 0.5000 0.0000
Mn2 Mn 0.5000 0.0000 0.0000
Mn3 Mn 0.0000 0.0000 0.5000
Al1 Al 0.0000 0.0000 0.0000
```

Properties
ΔE to the lowest computed polymorph ... 0 meV/atom
DFT formation energy ... 1.02 eV per atom
M_tot ... 12.715 μB per formula unit
Mass density ... 3.516 g cm⁻³
Density of states at the Fermi level ... 1.364 states/eV per atom

---

VASP calculation (GGA-PBE) on a relaxed structure of RbMnAl2.

Structure (CIF):
```
data_RbMnAl2
_chemical_formula_sum 'Rb2 Mn2 Al4'
_cell_length_a 5.5001
_cell_length_b 5.5001
_cell_length_c 9.4717
_cell_angle_alpha 73.12
_cell_angle_beta 73.12
_cell_angle_gamma 90.00
_symmetry_space_group_name_H-M 'P 1'
_symmetry_Int_Tables_number 1
loop_
_symmetry_equiv_pos_as_xyz
'x,y,z'
loop_
_atom_site_label
_atom_site_type_symbol
_atom_site_fract_x
_atom_site_fract_y
_atom_site_fract_z
Al1 Al 0.3750 0.6250 0.7500
Al2 Al 0.8750 0.6250 0.7500
Al3 Al 0.3750 0.1250 0.2500
Al4 Al 0.3750 0.6250 0.2500
Rb1 Rb 0.7500 0.2500 0.5000
Rb2 Rb 0.0000 0.0000 0.0000
Mn1 Mn 0.2500 0.7500 0.5000
Mn2 Mn 0.5000 0.5000 0.0000
```

Properties
ΔE to the lowest computed polymorph ... 0 meV/atom
DFT formation energy ... 0.60 eV per atom
M_tot ... 3.144 μB per formula unit
Mass density ... 2.471 g cm⁻³
Density of states at the Fermi level ... 1.190 states/eV per atom

---

VASP calculation (GGA-PBE) on a relaxed structure of RbMn2Al2.

Structure (CIF):
```
data_RbMn2Al2
_chemical_formula_sum 'Rb2 Mn4 Al4'
_cell_length_a 8.3324
_cell_length_b 8.3324
_cell_length_c 2.7031
_cell_angle_alpha 90.00
_cell_angle_beta 90.00
_cell_angle_gamma 90.00
_symmetry_space_group_name_H-M 'P 1'
_symmetry_Int_Tables_number 1
loop_
_symmetry_equiv_pos_as_xyz
'x,y,z'
loop_
_atom_site_label
_atom_site_type_symbol
_atom_site_fract_x
_atom_site_fract_y
_atom_site_fract_z
Mn1 Mn 0.0866 0.5866 0.5000
Mn2 Mn 0.4134 0.0866 0.5000
Mn3 Mn 0.9134 0.4134 0.5000
Mn4 Mn 0.5866 0.9134 0.5000
Al1 Al 0.6688 0.1688 0.0000
Al2 Al 0.1688 0.3312 0.0000
Al3 Al 0.8312 0.6688 0.0000
Al4 Al 0.3312 0.8312 0.0000
Rb1 Rb 0.5000 0.5000 0.0000
Rb2 Rb 0.0000 0.0000 0.0000
```

Properties
ΔE to the lowest computed polymorph ... 137 meV/atom
DFT formation energy ... 0.55 eV per atom
M_tot ... 0.000 μB per formula unit
Mass density ... 4.412 g cm⁻³
Density of states at the Fermi level ... 0.213 states/eV per atom

---

VASP calculation (GGA-PBE) on a relaxed structure of Rb2Mn2Al.

Structure (CIF):
```
data_Rb2Mn2Al
_chemical_formula_sum 'Rb2 Mn2 Al1'
_cell_length_a 4.6008
_cell_length_b 4.6008
_cell_length_c 8.4344
_cell_angle_alpha 74.17
_cell_angle_beta 74.17
_cell_angle_gamma 90.00
_symmetry_space_group_name_H-M 'P 1'
_symmetry_Int_Tables_number 1
loop_
_symmetry_equiv_pos_as_xyz
'x,y,z'
loop_
_atom_site_label
_atom_site_type_symbol
_atom_site_fract_x
_atom_site_fract_y
_atom_site_fract_z
Rb1 Rb 0.7500 0.2500 0.5000
Rb2 Rb 0.2500 0.7500 0.5000
Mn1 Mn 0.5775 0.5775 0.8451
Mn2 Mn 0.4225 0.4225 0.1549
Al1 Al 0.0000 0.0000 0.0000
```

Properties
ΔE to the lowest computed polymorph ... 0 meV/atom
DFT formation energy ... 1.29 eV per atom
M_tot ... 8.101 μB per formula unit
Mass density ... 3.103 g cm⁻³
Density of states at the Fermi level ... 1.113 states/eV per atom

---

> Which of these has the highest mass density?

PuUMnAl

---

> Among the records above, which one has the highest density of states at the Fermi level?

TbPuMnAl